# ScSn2WF

ScSn2WF after structural relaxation (PBE with a Hubbard U, Alexandria via LeMat-Bulk).

Cell lengths 5.265, 5.184, 5.265 Å; angles 90.00, 90.00, 90.00 degrees
Site moments in Bohr magnetons follow the coordinates.
Atoms (fractional coordinates):
Sc 0.000 0.500 0.000  -0.16
Sn 0.000 0.000 0.500  -0.06
Sn 0.500 0.000 0.000  -0.11
W 0.000 0.000 0.000  1.26
F 0.500 0.500 0.500  -0.02

Calculated values
The total energy comes out at -4.45 eV per atom. The calculation puts the calculated volume at 28.7 Å³ per atom. As for the space-group type: P4/mmm, No. 123. The value obtained for the calculated density is 5.6 g cm⁻³.